Here is a geometry-optimized ReNiIr2 structure from Alexandria. Energies are from PBE.

Unit cell a=4.5821 b=4.5821 c=2.7176 alpha=90.00 beta=90.00 gamma=90.00
With the nearest neighbours (Å) after each atom.
Fractional coordinates of all 4 atoms:
Ir 0.0000 0.0000 0.0000  4 Ni 2.66, 4 Re 2.66, 2 Ir 2.72
Ir 0.5000 0.5000 0.0000  4 Re 2.66, 4 Ni 2.66, 2 Ir 2.72
Ni 0.5000 0.0000 0.5000  8 Ir 2.66, 2 Ni 2.72
Re 0.0000 0.5000 0.5000  8 Ir 2.66, 2 Re 2.72

## Properties
DFT total energy: -34.90 eV for the cell shown
size of the total moment: 0.000 μB per atom
space-group type: P4/mmm (123)

=====

Here is a geometry-optimized FeCu2H structure from Alexandria. Energies are from PBE.

Unit cell a=2.5853 b=2.5882 c=11.1531 alpha=90.00 beta=90.00 gamma=90.00
With the nearest neighbours (Å) after each atom.
Fractional coordinates of all 8 atoms:
Fe 0.2500 0.3355 0.5901  5 H 1.83-1.89
Fe 0.7500 0.8355 0.4099  5 H 1.83-1.89
Cu 0.7500 0.8372 0.7606  1 H 2.02
Cu 0.2500 0.3372 0.2394  1 H 2.02
Cu 0.7500 0.8376 0.0797  12 Cu 2.55-2.59
Cu 0.2500 0.3376 0.9203  12 Cu 2.55-2.59
H 0.2500 0.3353 0.4207  5 Fe 1.83-1.89, 1 Cu 2.02
H 0.7500 0.8353 0.5793  5 Fe 1.83-1.89, 1 Cu 2.02

## Properties
DFT total energy: -39.58 eV for the cell shown
size of the total moment: 0.513 μB per atom
space-group type: Pmn2_1 (31)

=====

Here is a geometry-optimized Np3FeB2Rh9 structure from Alexandria. Energies are from PBE.

Unit cell a=5.7701 b=5.7701 c=8.4180 alpha=90.00 beta=90.00 gamma=120.00
With the nearest neighbours (Å) after each atom.
Fractional coordinates of all 15 atoms:
Np 0.3333 0.6667 0.6372  6 Rh 2.95
Np 0.0000 0.0000 0.0000  12 Rh 2.89-2.95
Np 0.6667 0.3333 0.3628  6 Rh 2.95
Fe 0.0000 0.0000 0.5000  6 Rh 2.42
B 0.3333 0.6667 0.1491  6 Rh 2.05-2.09
B 0.6667 0.3333 0.8509  6 Rh 2.05-2.09
Rh 0.8345 0.1655 0.7103  1 B 2.05
Rh 0.8345 0.6690 0.7103  1 B 2.05
Rh 0.3310 0.1655 0.7103  1 B 2.05
Rh 0.6690 0.8345 0.2897  1 B 2.05
Rh 0.1655 0.3310 0.2897  1 B 2.05
Rh 0.1655 0.8345 0.2897  1 B 2.05
Rh 0.5000 0.0000 0.0000  2 B 2.09
Rh 0.0000 0.5000 0.0000  2 B 2.09
Rh 0.5000 0.5000 0.0000  2 B 2.09

## Properties
DFT total energy: -130.54 eV for the cell shown
size of the total moment: 0.816 μB per atom
space-group type: P-3m1 (164)

=====

Here is a geometry-optimized Ba2ScTa structure from Alexandria. Energies are from PBE.

Unit cell a=4.1586 b=3.6022 c=10.1696 alpha=69.44 beta=90.00 gamma=90.00
With the nearest neighbours (Å) after each atom.
Fractional coordinates of all 4 atoms:
Ba 0.0000 0.0716 0.9319  1 Sc 3.46, 2 Ba 3.60, 4 Ta 3.61
Ba 0.5000 0.1834 0.3136  1 Ta 3.55, 2 Ba 3.60, 4 Sc 3.67
Sc 0.0000 0.4309 0.5682  4 Ta 2.97
Ta 0.5000 0.8141 0.6863  4 Sc 2.97

## Properties
DFT total energy: -19.62 eV for the cell shown
size of the total moment: 0.000 μB per atom
space-group type: Pm (6)

=====

Here is a geometry-optimized TaVGaOs structure from Alexandria. Energies are from PBE.

Unit cell a=4.4238 b=4.4238 c=4.4238 alpha=60.00 beta=60.00 gamma=60.00
With the nearest neighbours (Å) after each atom.
Fractional coordinates of all 4 atoms:
V 0.0000 0.0000 0.0000  4 Ta 2.71, 4 Ga 2.71
Os 0.5000 0.5000 0.5000  4 Ta 2.71, 4 Ga 2.71
Ga 0.7500 0.7500 0.7500  4 Os 2.71, 4 V 2.71
Ta 0.2500 0.2500 0.2500  4 Os 2.71, 4 V 2.71

## Properties
DFT total energy: -36.18 eV for the cell shown
size of the total moment: 0.680 μB per atom
space-group type: F-43m (216)

=====

Here is a geometry-optimized BaLi4 structure from Alexandria. Energies are from PBE.

Unit cell a=5.6679 b=5.8540 c=5.8929 alpha=120.32 beta=102.67 gamma=102.31
With the nearest neighbours (Å) after each atom.
Fractional coordinates of all 5 atoms:
Ba 0.0000 0.0000 0.0000  16 Li 3.65-3.92
Li 0.3021 0.7807 0.4734  4 Li 2.85-3.16
Li 0.6978 0.5316 0.2228  4 Li 2.85-3.16
Li 0.6979 0.2193 0.5266  4 Li 2.85-3.16
Li 0.3022 0.4684 0.7772  4 Li 2.85-3.16

## Properties
DFT total energy: -9.25 eV for the cell shown
size of the total moment: 0.000 μB per atom
space-group type: P-1 (2)

=====

Here is a geometry-optimized Cs2YI6F structure from Alexandria. Energies are from PBE.

Unit cell a=8.1415 b=8.1415 c=8.8273 alpha=62.54 beta=62.54 gamma=90.00
With the nearest neighbours (Å) after each atom.
Fractional coordinates of all 10 atoms:
Cs 0.7500 0.2500 0.5000  12 I 4.08-4.42
Cs 0.2500 0.7500 0.5000  12 I 4.08-4.42
I 0.2259 0.2259 0.5483  1 Y 3.02
I 0.7741 0.7741 0.4517  1 Y 3.02
I 0.2622 0.2622 0.0000  1 F 2.74, 1 Y 3.02
I 0.7378 0.7378 0.0000  1 F 2.74, 1 Y 3.02
I 0.7378 0.2622 0.0000  1 F 2.74, 1 Y 3.02
I 0.2622 0.7378 0.0000  1 F 2.74, 1 Y 3.02
Y 0.0000 0.0000 0.0000  6 I 3.02
F 0.5000 0.5000 0.0000  4 I 2.74

## Properties
DFT total energy: -31.03 eV for the cell shown
size of the total moment: 0.109 μB per atom
space-group type: I4/mmm (139)

=====

Here is a geometry-optimized Cd5Rh3 structure from Alexandria. Energies are from PBE.

Unit cell a=4.7425 b=4.7425 c=7.0796 alpha=107.15 beta=107.15 gamma=96.87
With the nearest neighbours (Å) after each atom.
Fractional coordinates of all 8 atoms:
Cd 0.6310 0.1310 0.2621  6 Rh 2.81-2.90, 3 Cd 2.90-3.02
Cd 0.0000 0.0000 0.0000  8 Cd 2.90, 4 Rh 3.15-3.17
Cd 0.3690 0.8690 0.7379  6 Rh 2.81-2.90, 3 Cd 2.90-3.02
Cd 0.1310 0.6310 0.2621  6 Rh 2.81-2.90, 3 Cd 2.90-3.02
Cd 0.8690 0.3690 0.7379  6 Rh 2.81-2.90, 3 Cd 2.90-3.02
Rh 0.7504 0.7504 0.5008  8 Cd 2.81
Rh 0.5000 0.5000 0.0000  10 Cd 2.90-3.15, 2 Rh 3.18
Rh 0.2496 0.2496 0.4992  8 Cd 2.81

## Properties
DFT total energy: -27.31 eV for the cell shown
size of the total moment: 0.000 μB per atom
space-group type: Fmmm (69)

=====

Here is a geometry-optimized InFeBr structure from Alexandria. Energies are from PBE.

Unit cell a=4.4390 b=4.4390 c=3.7922 alpha=90.00 beta=90.00 gamma=120.00
With the nearest neighbours (Å) after each atom.
Fractional coordinates of all 3 atoms:
Br 0.0000 0.0000 0.1699  3 Fe 2.56
Fe 0.6667 0.3333 0.1555  3 Br 2.56
In 0.3333 0.6667 0.6745  6 Fe 3.15-3.23, 6 Br 3.18-3.20

## Properties
DFT total energy: -11.52 eV for the cell shown
size of the total moment: 0.761 μB per atom
space-group type: P3m1 (156)

=====

Here is a geometry-optimized Ta2BeGa structure from Alexandria. Energies are from PBE.

Unit cell a=3.2554 b=3.2554 c=7.1705 alpha=76.88 beta=76.88 gamma=60.00
With the nearest neighbours (Å) after each atom.
Fractional coordinates of all 4 atoms:
Be 0.0000 0.0000 0.0000  6 Ta 2.33
Ga 0.5000 0.5000 0.5000  6 Ta 2.80
Ta 0.2667 0.2667 0.1999  3 Be 2.33
Ta 0.7333 0.7333 0.8001  3 Be 2.33

## Properties
DFT total energy: -29.66 eV for the cell shown
size of the total moment: 0.000 μB per atom
space-group type: R-3m (166)

=====

Here is a geometry-optimized Li7Tl3Hg structure from Alexandria. Energies are from PBE.

Unit cell a=3.2882 b=12.3253 c=11.1196 alpha=90.00 beta=90.00 gamma=97.67
With the nearest neighbours (Å) after each atom.
Fractional coordinates of all 22 atoms:
Li 0.2889 0.5778 0.7500  5 Tl 2.93-3.05, 4 Li 2.97
Li 0.7111 0.4222 0.2500  5 Tl 2.93-3.05, 4 Li 2.97
Li 0.5466 0.0933 0.3799  2 Li 2.74-2.89, 2 Hg 2.82, 2 Tl 3.02
Li 0.4534 0.9067 0.6201  2 Li 2.74-2.89, 2 Hg 2.82, 2 Tl 3.02
Li 0.4534 0.9067 0.8799  2 Li 2.74-2.89, 2 Hg 2.82, 2 Tl 3.02
Li 0.5466 0.0933 0.1201  2 Li 2.74-2.89, 2 Hg 2.82, 2 Tl 3.02
Li 0.4084 0.8168 0.3946  1 Li 2.74, 2 Hg 2.80, 4 Tl 2.90-2.99
Li 0.5916 0.1832 0.6054  1 Li 2.74, 2 Hg 2.80, 4 Tl 2.90-2.99
Li 0.2774 0.5547 0.4180  4 Li 2.80-2.97, 4 Tl 2.87-3.04
Li 0.7226 0.4453 0.5820  4 Li 2.80-2.97, 4 Tl 2.87-3.04
Li 0.7226 0.4453 0.9180  4 Li 2.80-2.97, 4 Tl 2.87-3.04
Li 0.2774 0.5547 0.0820  4 Li 2.80-2.97, 4 Tl 2.87-3.04
Li 0.4084 0.8168 0.1054  1 Li 2.74, 2 Hg 2.80, 4 Tl 2.90-2.99
Li 0.5916 0.1832 0.8946  1 Li 2.74, 2 Hg 2.80, 4 Tl 2.90-2.99
Tl 0.1486 0.2972 0.4190  9 Li 2.93-3.15
Tl 0.8514 0.7028 0.5810  9 Li 2.93-3.15
Tl 0.1640 0.3279 0.7500  9 Li 2.87-3.05
Tl 0.8360 0.6721 0.2500  9 Li 2.87-3.05
Tl 0.1486 0.2972 0.0810  9 Li 2.93-3.15
Tl 0.8514 0.7028 0.9190  9 Li 2.93-3.15
Hg 0.9737 0.9474 0.2500  8 Li 2.80-2.82
Hg 0.0263 0.0526 0.7500  8 Li 2.80-2.82

## Properties
DFT total energy: -45.91 eV for the cell shown
size of the total moment: 0.000 μB per atom
space-group type: Cmcm (63)

=====

Here is a geometry-optimized Zn2SbTe structure from Alexandria. Energies are from PBE.

Unit cell a=4.1570 b=3.9390 c=6.9614 alpha=90.17 beta=90.00 gamma=90.00
With the nearest neighbours (Å) after each atom.
Fractional coordinates of all 4 atoms:
Sb 0.0000 0.3765 0.3938  4 Zn 2.75-2.80
Te 0.5000 0.8734 0.8613  4 Zn 2.70-2.75
Zn 0.0000 0.8751 0.1088  2 Te 2.70, 2 Sb 2.80, 4 Zn 2.87
Zn 0.5000 0.3751 0.1361  2 Te 2.75, 2 Sb 2.75, 4 Zn 2.87

## Properties
DFT total energy: -10.15 eV for the cell shown
size of the total moment: 0.000 μB per atom
space-group type: Pm (6)

=====

Here is a geometry-optimized Tc3OsCl structure from Alexandria. Energies are from PBE.

Unit cell a=4.7932 b=4.7932 c=4.7932 alpha=90.00 beta=90.00 gamma=90.00
With the nearest neighbours (Å) after each atom.
Fractional coordinates of all 5 atoms:
Os 0.0000 0.0000 0.0000  6 Tc 2.40
Tc 0.0000 0.5000 0.0000  2 Os 2.40
Tc 0.0000 0.0000 0.5000  2 Os 2.40
Tc 0.5000 0.0000 0.0000  2 Os 2.40
Cl 0.5000 0.5000 0.5000  12 Tc 3.39

## Properties
DFT total energy: -34.91 eV for the cell shown
size of the total moment: 1.016 μB per atom
space-group type: Pm-3m (221)

=====

Here is a geometry-optimized KBaLi3 structure from Alexandria. Energies are from PBE.

Unit cell a=6.5252 b=6.5252 c=6.5252 alpha=90.00 beta=90.00 gamma=90.00
With the nearest neighbours (Å) after each atom.
Fractional coordinates of all 5 atoms:
K 0.5000 0.5000 0.5000  12 Li 4.61
Ba 0.0000 0.0000 0.0000  6 Li 3.26
Li 0.0000 0.5000 0.0000  2 Ba 3.26
Li 0.0000 0.0000 0.5000  2 Ba 3.26
Li 0.5000 0.0000 0.0000  2 Ba 3.26

## Properties
DFT total energy: -5.67 eV for the cell shown
size of the total moment: 0.000 μB per atom
space-group type: Pm-3m (221)

=====

Here is a geometry-optimized Pm3SmRu3 structure from Alexandria. Energies are from PBE.

Unit cell a=6.9839 b=6.9839 c=6.8873 alpha=90.09 beta=90.09 gamma=89.75
With the nearest neighbours (Å) after each atom.
Fractional coordinates of all 14 atoms:
Pm 0.7523 0.7523 0.4990  6 Ru 3.00-3.01
Pm 0.2469 0.7531 0.5000  6 Ru 2.98-3.02
Pm 0.7531 0.2469 0.5000  6 Ru 2.98-3.02
Pm 0.2499 0.7501 0.0000  6 Ru 3.00-3.02
Pm 0.7501 0.2499 0.0000  6 Ru 3.00-3.02
Pm 0.2477 0.2477 0.5010  6 Ru 3.00-3.01
Sm 0.7559 0.7559 0.9990  6 Ru 2.96-3.01
Sm 0.2441 0.2441 0.0010  6 Ru 2.96-3.01
Ru 0.0000 0.0000 0.2496  2 Sm 2.96-2.97, 6 Pm 2.98-3.00
Ru 0.0000 0.5000 0.7505  2 Sm 3.00-3.01, 6 Pm 3.00-3.02
Ru 0.5000 0.0000 0.7505  2 Sm 3.00-3.01, 6 Pm 3.00-3.02
Ru 0.0000 0.5000 0.2495  2 Sm 3.00-3.01, 6 Pm 3.00-3.02
Ru 0.5000 0.0000 0.2495  2 Sm 3.00-3.01, 6 Pm 3.00-3.02
Ru 0.0000 0.0000 0.7504  2 Sm 2.96-2.97, 6 Pm 2.98-3.00

## Properties
DFT total energy: -96.06 eV for the cell shown
size of the total moment: 0.000 μB per atom
space-group type: C2/m (12)

=====

Here is a geometry-optimized In4Pt3 structure from Alexandria. Energies are from PBE.

Unit cell a=10.4459 b=10.4459 c=10.4459 alpha=159.64 beta=159.64 gamma=28.95
With the nearest neighbours (Å) after each atom.
Fractional coordinates of all 7 atoms:
In 0.1578 0.1578 0.0000  5 Pt 2.77-2.78
In 0.4306 0.4306 0.0000  5 Pt 2.75-2.96, 1 In 2.81
In 0.5694 0.5694 0.0000  5 Pt 2.75-2.96, 1 In 2.81
In 0.8422 0.8422 0.0000  5 Pt 2.77-2.78
Pt 0.0000 0.0000 0.0000  10 In 2.96-3.19
Pt 0.2946 0.2946 0.0000  6 In 2.75-2.78
Pt 0.7054 0.7054 0.0000  6 In 2.75-2.78

## Properties
DFT total energy: -31.19 eV for the cell shown
size of the total moment: 0.000 μB per atom
space-group type: I4/mmm (139)

=====

Here is a geometry-optimized SrCoPb2 structure from Alexandria. Energies are from PBE.

Unit cell a=5.2456 b=5.2456 c=5.2456 alpha=60.00 beta=60.00 gamma=60.00
With the nearest neighbours (Å) after each atom.
Fractional coordinates of all 4 atoms:
Pb 0.2500 0.2500 0.2500  4 Co 3.21, 4 Sr 3.21
Pb 0.7500 0.7500 0.7500  4 Sr 3.21, 4 Co 3.21
Sr 0.5000 0.5000 0.5000  8 Pb 3.21
Co 0.0000 0.0000 0.0000  8 Pb 3.21

## Properties
DFT total energy: -15.31 eV for the cell shown
size of the total moment: 0.288 μB per atom
space-group type: Fm-3m (225)

=====

Here is a geometry-optimized LiLuTiRu structure from Alexandria. Energies are from PBE.

Unit cell a=4.5955 b=4.5955 c=4.5955 alpha=60.00 beta=60.00 gamma=60.00
With the nearest neighbours (Å) after each atom.
Fractional coordinates of all 4 atoms:
Ru 0.5000 0.5000 0.5000  4 Ti 2.81, 4 Lu 2.81
Lu 0.7500 0.7500 0.7500  4 Li 2.81, 4 Ru 2.81
Li 0.0000 0.0000 0.0000  4 Lu 2.81, 4 Ti 2.81
Ti 0.2500 0.2500 0.2500  4 Li 2.81, 4 Ru 2.81

## Properties
DFT total energy: -24.58 eV for the cell shown
size of the total moment: 0.000 μB per atom
space-group type: F-43m (216)

=====

Here is a geometry-optimized MgZnSe2 structure from Alexandria. Energies are from PBE.

Unit cell a=9.9504 b=9.9504 c=5.0162 alpha=90.00 beta=90.00 gamma=157.90
With the nearest neighbours (Å) after each atom.
Fractional coordinates of all 8 atoms:
Zn 0.0648 0.9352 0.2500  4 Se 2.49-2.57
Zn 0.9352 0.0648 0.7500  4 Se 2.49-2.57
Mg 0.3275 0.6725 0.2500  3 Se 2.64-2.81
Mg 0.6725 0.3275 0.7500  3 Se 2.64-2.81
Se 0.1923 0.8077 0.2500  1 Zn 2.49, 1 Mg 2.64
Se 0.8077 0.1923 0.7500  1 Zn 2.49, 1 Mg 2.64
Se 0.9331 0.0669 0.2500  3 Zn 2.51-2.57
Se 0.0669 0.9331 0.7500  3 Zn 2.51-2.57

## Properties
DFT total energy: -23.72 eV for the cell shown
size of the total moment: 0.000 μB per atom
space-group type: Cmcm (63)

=====

Here is a geometry-optimized PmNdDyZn structure from Alexandria. Energies are from PBE.

Unit cell a=5.4329 b=5.4329 c=5.4329 alpha=60.00 beta=60.00 gamma=60.00
With the nearest neighbours (Å) after each atom.
Fractional coordinates of all 4 atoms:
Zn 0.0000 0.0000 0.0000  4 Dy 3.33, 4 Nd 3.33
Pm 0.5000 0.5000 0.5000  4 Nd 3.33, 4 Dy 3.33
Nd 0.2500 0.2500 0.2500  4 Zn 3.33, 4 Pm 3.33
Dy 0.7500 0.7500 0.7500  4 Zn 3.33, 4 Pm 3.33

## Properties
DFT total energy: -15.09 eV for the cell shown
size of the total moment: 0.001 μB per atom
space-group type: F-43m (216)